(1)
Material: AcSn2P
Method: DFT, PBE
State: relaxed

extended XYZ file:
```
4
Lattice="-1.807 4.230 2.876 -3.892 -0.180 -2.181 -1.605 -2.790 3.095" Properties=species:S:1:pos:R:3 pbc="T T T"
Ac -0.903 2.115 1.438
Sn -0.803 -1.395 1.547
Sn -1.946 -0.090 -1.090
P -3.652 0.630 1.895
```

Properties
DFT formation energy = -44.9 kJ per mole of atoms
SG = P4/mmm, No. 123
excess energy over the best structure of this formula in the dataset = 0 meV/atom
DFT total energy = -19.385 eV per formula unit
size of the total moment = 0.00 μB per cell

---

(2)
Material: Nd8Ru3PtCl4
Method: DFT, PBE
State: relaxed

extended XYZ file:
```
16
Lattice="-1.427 -4.230 6.820 7.112 -5.172 -1.719 1.268 8.043 0.382" Properties=species:S:1:pos:R:3 pbc="T T T"
Nd 1.052 -4.456 4.687
Ru 3.477 -0.679 2.742
Cl -0.079 1.907 3.601
Nd 1.743 -2.407 1.384
Nd 4.591 -2.978 3.984
Nd 2.363 1.620 1.499
Nd 5.901 3.097 0.797
Ru 2.842 -4.701 2.550
Pt 3.556 -2.586 -0.860
Cl -0.714 -2.115 3.410
Nd 5.210 1.049 4.100
Ru 4.190 1.436 -0.668
Cl 0.000 0.000 0.000
Cl 0.634 4.022 0.191
Nd 5.287 -0.798 0.611
Nd 1.666 -0.560 4.872
```

Properties
ΔE_f (raw) = -97.1 kJ per mole of atoms
SG = R-3m, No. 166
DFT total energy = -95.501 eV per formula unit
size of the total moment = 0.00 μB per cell

---

(3)
Material: SrMoP2S
Method: DFT, PBE
State: relaxed

extended XYZ file:
```
5
Lattice="-3.638 -2.866 2.256 0.139 -3.293 -3.960 3.668 -2.753 2.417" Properties=species:S:1:pos:R:3 pbc="T T T"
P 0.069 -1.646 -1.980
P -1.819 -1.433 1.128
S 1.834 -1.376 1.209
Sr 0.000 0.000 0.000
Mo 0.084 -4.456 0.357
```

Properties
ΔE_f (raw) = 186.2 kJ per mole of atoms
SG = P4/mmm, No. 123
excess energy over the best structure of this formula in the dataset = 2417 meV/atom
DFT total energy = -17.813 eV per formula unit
size of the total moment = 0.00 μB per cell

---

(4)
Material: SbTePdI2
Method: DFT, PBE
State: relaxed

extended XYZ file:
```
5
Lattice="5.357 0.000 0.000 0.000 5.357 0.000 0.000 0.000 5.442" Properties=species:S:1:pos:R:3 pbc="T T T"
I 0.000 2.678 0.000
Pd 0.000 0.000 0.000
I 2.678 0.000 0.000
Sb 2.678 2.678 2.721
Te 0.000 0.000 2.721
```

Properties
ΔE_f (raw) = 24.3 kJ per mole of atoms
SG = P4/mmm, No. 123
excess energy over the best structure of this formula in the dataset = 0 meV/atom
DFT total energy = -14.299 eV per formula unit
size of the total moment = 0.00 μB per cell

---

(5)
Material: CaTb3Pr6Sm2
Method: DFT, PBE
State: relaxed

extended XYZ file:
```
12
Lattice="6.376 -0.001 0.011 -3.187 5.522 0.011 -1.076 -1.863 11.877" Properties=species:S:1:pos:R:3 pbc="T T T"
Pr -0.048 3.662 8.872
Sm 3.191 1.838 0.011
Tb 4.247 -0.015 5.949
Pr 2.104 3.643 3.044
Pr -1.084 1.868 3.026
Ca 0.000 0.000 0.000
Sm -0.003 3.683 0.011
Tb 1.056 1.828 5.949
Pr 3.196 1.788 8.872
Pr 2.160 -0.005 3.026
Tb -2.135 3.671 5.949
Pr 0.008 0.014 8.854
```

Properties
DFT formation energy = 2.4 kJ per mole of atoms
SG = C2/m, No. 12
DFT total energy = -53.715 eV per formula unit
size of the total moment = 0.00 μB per cell

---

(6)
Material: CoW2Se
Method: DFT, PBE
State: relaxed

extended XYZ file:
```
4
Lattice="-0.632 3.247 4.153 3.231 -3.610 0.410 2.388 1.577 0.109" Properties=species:S:1:pos:R:3 pbc="T T T"
W 0.878 2.412 2.131
W 0.000 0.000 0.000
Co 2.810 -1.016 0.259
Se 1.300 -0.181 2.281
```

Properties
ΔE_f (raw) = 55.6 kJ per mole of atoms
SG = C2/m, No. 12
DFT total energy = -34.190 eV per formula unit
size of the total moment = 0.29 μB per cell

---

- The highest size of the total moment belongs to which entry?
  CoW2Se

---

- Look up the size of the total moment of the fifth one.
  0.00 μB per cell